Computed, not measured: an optimized crystal structure of RbHgRu3 at the PBE level of DFT.

Computed properties:
- VASP energy: -14.70 eV per cell
- DFT formation energy: 2880.0 meV per atom
- Relative energy among the computed polymorphs: 0.801 eV per atom
- Total moment: 5.32 Bohr magnetons per cell

CIF file:
```
data_RbHgRu3
_symmetry_space_group_name_H-M 'P m -3 m'
_symmetry_Int_Tables_number 221
_symmetry_space_group_name_Hall '-P 4 2 3'
_cell_length_a 4.866
_cell_length_b 4.866
_cell_length_c 4.866
_cell_angle_alpha 90.00
_cell_angle_beta 90.00
_cell_angle_gamma 90.00
loop_
_atom_site_label
_atom_site_fract_x
_atom_site_fract_y
_atom_site_fract_z
Rb1 0.000 0.000 0.000
Hg1 0.500 0.500 0.500
Ru1 0.000 0.000 0.500
```

=====

Computed, not measured: an optimized crystal structure of RbHg2Ru2 at the PBE level of DFT.

Computed properties:
- VASP energy: -34.40 eV per cell
- DFT formation energy: 584.4 meV per atom
- Relative energy among the computed polymorphs: 0.000 eV per atom
- Total moment: 3.95 Bohr magnetons per cell

CIF file:
```
data_RbHg2Ru2
_symmetry_space_group_name_H-M 'P 4/m b m'
_symmetry_Int_Tables_number 127
_symmetry_space_group_name_Hall '-P 4 2ab'
_cell_length_a 8.609
_cell_length_b 8.609
_cell_length_c 2.955
_cell_angle_alpha 90.00
_cell_angle_beta 90.00
_cell_angle_gamma 90.00
loop_
_atom_site_label
_atom_site_fract_x
_atom_site_fract_y
_atom_site_fract_z
Rb1 0.000 0.000 0.000
Hg1 0.190 0.310 0.500
Ru1 0.097 0.597 0.000
```

=====

Computed, not measured: an optimized crystal structure of RbHg3Ru at the PBE level of DFT.

Computed properties:
- VASP energy: -10.62 eV per cell
- DFT formation energy: 104.9 meV per atom
- Relative energy among the computed polymorphs: 0.000 eV per atom
- Total moment: 0.11 Bohr magnetons per cell

CIF file:
```
data_RbHg3Ru
_symmetry_space_group_name_H-M 'P m -3 m'
_symmetry_Int_Tables_number 221
_symmetry_space_group_name_Hall '-P 4 2 3'
_cell_length_a 5.350
_cell_length_b 5.350
_cell_length_c 5.350
_cell_angle_alpha 90.00
_cell_angle_beta 90.00
_cell_angle_gamma 90.00
loop_
_atom_site_label
_atom_site_fract_x
_atom_site_fract_y
_atom_site_fract_z
Rb1 0.000 0.000 0.000
Hg1 0.000 0.500 0.500
Ru1 0.500 0.500 0.500
```

=====

Computed, not measured: an optimized crystal structure of RbHg2Ru2 at the PBE level of DFT.

Computed properties:
- VASP energy: -33.46 eV per cell
- DFT formation energy: 678.2 meV per atom
- Relative energy among the computed polymorphs: 0.094 eV per atom
- Total moment: 0.00 Bohr magnetons per cell

CIF file:
```
data_RbHg2Ru2
_symmetry_space_group_name_H-M 'I 4/m m m'
_symmetry_Int_Tables_number 139
_symmetry_space_group_name_Hall '-I 4 2'
_cell_length_a 5.026
_cell_length_b 5.026
_cell_length_c 9.617
_cell_angle_alpha 90.00
_cell_angle_beta 90.00
_cell_angle_gamma 90.00
loop_
_atom_site_label
_atom_site_fract_x
_atom_site_fract_y
_atom_site_fract_z
Rb1 0.000 0.000 0.000
Hg1 0.000 0.500 0.250
Ru1 0.000 0.000 0.384
```

=====

Computed, not measured: an optimized crystal structure of RbScHgRu2 at the PBE level of DFT.

Computed properties:
- VASP energy: -15.37 eV per cell
- DFT formation energy: 2156.3 meV per atom
- Total moment: 0.00 Bohr magnetons per cell

CIF file:
```
data_RbScHgRu2
_symmetry_space_group_name_H-M 'P 4/m m m'
_symmetry_Int_Tables_number 123
_symmetry_space_group_name_Hall '-P 4 2'
_cell_length_a 4.764
_cell_length_b 4.764
_cell_length_c 4.812
_cell_angle_alpha 90.00
_cell_angle_beta 90.00
_cell_angle_gamma 90.00
loop_
_atom_site_label
_atom_site_fract_x
_atom_site_fract_y
_atom_site_fract_z
Rb1 0.000 0.000 0.000
Sc1 0.000 0.000 0.500
Hg1 0.500 0.500 0.500
Ru1 0.000 0.500 0.000
```

=====

Computed, not measured: an optimized crystal structure of RbSnHg2Ru at the PBE level of DFT.

Computed properties:
- VASP energy: -15.07 eV per cell
- DFT formation energy: -44.3 meV per atom
- Total moment: 0.00 Bohr magnetons per cell

CIF file:
```
data_RbSnHg2Ru
_symmetry_space_group_name_H-M 'P 4/m m m'
_symmetry_Int_Tables_number 123
_symmetry_space_group_name_Hall '-P 4 2'
_cell_length_a 5.434
_cell_length_b 5.434
_cell_length_c 5.060
_cell_angle_alpha 90.00
_cell_angle_beta 90.00
_cell_angle_gamma 90.00
loop_
_atom_site_label
_atom_site_fract_x
_atom_site_fract_y
_atom_site_fract_z
Rb1 0.000 0.000 0.000
Sn1 0.500 0.500 0.000
Hg1 0.000 0.500 0.500
Ru1 0.500 0.500 0.500
```

=====

Computed, not measured: an optimized crystal structure of Rb2TcHgRu at the PBE level of DFT.

Computed properties:
- VASP energy: -13.33 eV per cell
- DFT formation energy: 1710.6 meV per atom
- Total moment: 6.07 Bohr magnetons per cell

CIF file:
```
data_Rb2TcHgRu
_symmetry_space_group_name_H-M 'P 4/m m m'
_symmetry_Int_Tables_number 123
_symmetry_space_group_name_Hall '-P 4 2'
_cell_length_a 6.276
_cell_length_b 6.276
_cell_length_c 5.268
_cell_angle_alpha 90.00
_cell_angle_beta 90.00
_cell_angle_gamma 90.00
loop_
_atom_site_label
_atom_site_fract_x
_atom_site_fract_y
_atom_site_fract_z
Rb1 0.000 0.500 0.000
Tc1 0.000 0.000 0.500
Hg1 0.500 0.500 0.500
Ru1 0.500 0.500 0.000
```

=====

Computed, not measured: an optimized crystal structure of RbHgTeRu2 at the PBE level of DFT.

Computed properties:
- VASP energy: -15.67 eV per cell
- Formation energy without anion corrections: 1.4584 eV per atom
- Total moment: 4.91 Bohr magnetons per cell

CIF file:
```
data_RbHgTeRu2
_symmetry_space_group_name_H-M 'P 4/m m m'
_symmetry_Int_Tables_number 123
_symmetry_space_group_name_Hall '-P 4 2'
_cell_length_a 5.189
_cell_length_b 5.189
_cell_length_c 6.041
_cell_angle_alpha 90.00
_cell_angle_beta 90.00
_cell_angle_gamma 90.00
loop_
_atom_site_label
_atom_site_fract_x
_atom_site_fract_y
_atom_site_fract_z
Rb1 0.000 0.000 0.000
Hg1 0.000 0.000 0.500
Te1 0.500 0.500 0.000
Ru1 0.000 0.500 0.500
```